[1]
Compound: Tb2Pm6SmEr
Source: Alexandria via LeMat-Bulk
Functional: PBE
Structure: relaxed

Properties
Calculated volume (Å³/cell): 1352.0
Crystal system: monoclinic
Energy of formation from the pure elements (eV/atom): 0.12
Fermi-level density of states (states/eV per cell): 55.9

Cell lengths 9.2268, 15.2908, 9.6631 Å; angles 90.00, 97.38, 90.00 degrees
Closest atoms and distances in Å follow each position.
Space group C2/c (No. 15)
Asymmetric unit:
1 Tb 0.2489 0.0501 0.4544 (multiplicity 8)  5 Pm 3.29-3.52, 2 Sm 3.43-3.46, 1 Er 3.54
2 Pm 0.0615 0.3189 0.9451 (multiplicity 8)  7 Pm 3.45-3.80, 1 Tb 3.52, 1 Sm 3.69
3 Pm 0.0997 0.1085 0.1185 (multiplicity 8)  4 Pm 3.28-3.62, 3 Tb 3.29-3.48, 2 Er 3.45-3.57
4 Pm 0.2112 0.2770 0.3131 (multiplicity 8)  2 Pm 3.28-3.63, 1 Tb 3.46, 1 Er 3.47, 1 Sm 3.60
5 Sm 0.0000 0.4744 0.2500 (multiplicity 4)  4 Tb 3.43-3.46, 4 Pm 3.60-3.69
6 Er 0.0000 0.0895 0.7500 (multiplicity 4)  6 Pm 3.45-3.57, 2 Tb 3.54



[2]
Compound: TbPm4Sm2Er
Source: Alexandria via LeMat-Bulk
Functional: PBE
Structure: relaxed

Properties
Calculated volume (Å³/cell): 1089.6
Crystal system: monoclinic
Energy of formation from the pure elements (eV/atom): 0.40
Fermi-level density of states (states/eV per cell): 79.3

Cell lengths 13.7349, 13.2941, 6.8788 Å; angles 90.00, 119.83, 90.00 degrees
Closest atoms and distances in Å follow each position.
Space group C2/c (No. 15)
Asymmetric unit:
1 Tb 0.2500 0.2500 0.0000 (multiplicity 4)  6 Pm 3.32-3.45, 2 Sm 3.44
2 Pm 0.0017 0.2462 0.5013 (multiplicity 8)  1 Er 3.27, 3 Sm 3.37-3.46, 2 Tb 3.43-3.45, 2 Pm 3.43-3.45
3 Pm 0.2479 0.0010 0.9599 (multiplicity 8)  2 Er 3.30-3.55, 1 Tb 3.32, 3 Sm 3.33-3.60, 2 Pm 3.44
4 Sm 0.0000 0.5000 0.0000 (multiplicity 4)  6 Pm 3.33-3.60, 2 Sm 3.44
5 Sm 0.2500 0.2500 0.5000 (multiplicity 4)  6 Pm 3.35-3.46, 2 Tb 3.44
6 Er 0.0000 0.0000 0.0000 (multiplicity 4)  6 Pm 3.27-3.55, 2 Er 3.44



[3]
Compound: Tb6PmSm3Er2
Source: Alexandria via LeMat-Bulk
Functional: PBE
Structure: relaxed

Properties
Calculated volume (Å³/cell): 775.5
Crystal system: monoclinic
Energy of formation from the pure elements (eV/atom): 0.01
Fermi-level density of states (states/eV per cell): 30.7

Cell lengths 6.1948, 10.7226, 11.8545 Å; angles 90.00, 99.98, 90.00 degrees
Closest atoms and distances in Å follow each position.
Space group C2/m (No. 12)
Asymmetric unit:
1 Tb 0.2490 0.0000 0.2480 (multiplicity 4)  1 Pm 3.56, 2 Er 3.56, 6 Tb 3.57-3.58, 3 Sm 3.59-3.60
2 Tb 0.2499 0.1670 0.7519 (multiplicity 8)  2 Er 3.55-3.56, 1 Pm 3.56, 6 Tb 3.57-3.58, 3 Sm 3.59
3 Pm 0.0000 0.5000 0.0000 (multiplicity 2)  6 Tb 3.56, 6 Er 3.57-3.58
4 Sm 0.0000 0.0000 0.5000 (multiplicity 2)  6 Sm 3.57-3.58, 6 Tb 3.59
5 Sm 0.0000 0.3331 0.5000 (multiplicity 4)  6 Sm 3.57-3.58, 6 Tb 3.59-3.60
6 Er 0.0000 0.1668 0.0000 (multiplicity 4)  6 Tb 3.55-3.56, 3 Pm 3.57-3.58, 3 Er 3.57-3.58



[4]
Compound: TbPmSm3Er
Source: Alexandria via LeMat-Bulk
Functional: PBE
Structure: relaxed

Properties
Calculated volume (Å³/cell): 791.2
Crystal system: orthorhombic
Energy of formation from the pure elements (eV/atom): 0.02
Fermi-level density of states (states/eV per cell): 34.1

Cell lengths 5.0775, 15.2845, 10.1953 Å; angles 90.00, 90.00, 90.00 degrees
Closest atoms and distances in Å follow each position.
Space group Cmcm (No. 63)
Asymmetric unit:
1 Tb 0.0000 0.0000 0.0000 (multiplicity 4)  6 Sm 3.59-3.61, 4 Pm 3.60, 2 Er 3.61
2 Pm 0.0000 0.4990 0.2500 (multiplicity 4)  6 Sm 3.59-3.62, 2 Er 3.59, 4 Tb 3.60
3 Sm 0.0000 0.1675 0.2500 (multiplicity 4)  2 Er 3.59, 6 Sm 3.60, 2 Tb 3.61, 2 Pm 3.62
4 Sm 0.0000 0.3338 0.0002 (multiplicity 8)  2 Pm 3.59-3.61, 2 Tb 3.59, 3 Er 3.60-3.61, 5 Sm 3.60-3.61
5 Er 0.0000 0.1668 0.7500 (multiplicity 4)  8 Sm 3.59-3.61, 2 Pm 3.59, 2 Tb 3.61



[5]
Compound: Tb2Pm6Sm3Er
Source: Alexandria via LeMat-Bulk
Functional: PBE
Structure: relaxed

Properties
Calculated volume (Å³/cell): 803.0
Crystal system: monoclinic
Energy of formation from the pure elements (eV/atom): 0.01
Fermi-level density of states (states/eV per cell): 31.6

Cell lengths 6.2739, 10.8654, 11.9639 Å; angles 90.00, 100.06, 90.00 degrees
Closest atoms and distances in Å follow each position.
Space group C2/m (No. 12)
Asymmetric unit:
1 Tb 0.0000 0.1667 0.0000 (multiplicity 4)  6 Pm 3.59, 3 Tb 3.62, 3 Er 3.62
2 Pm 0.2492 0.3335 0.2475 (multiplicity 8)  1 Er 3.59, 2 Tb 3.59, 6 Pm 3.62, 3 Sm 3.64
3 Pm 0.2498 0.0000 0.2477 (multiplicity 4)  1 Er 3.59, 2 Tb 3.59, 6 Pm 3.62, 3 Sm 3.63-3.64
4 Sm 0.0000 0.0000 0.5000 (multiplicity 2)  6 Sm 3.62, 6 Pm 3.64
5 Sm 0.0000 0.3334 0.5000 (multiplicity 4)  6 Sm 3.62, 6 Pm 3.63-3.64
6 Er 0.0000 0.5000 0.0000 (multiplicity 2)  6 Pm 3.59, 6 Tb 3.62



[6]
Compound: Tb2Pm4SmEr
Source: Alexandria via LeMat-Bulk
Functional: PBE
Structure: relaxed

Properties
Calculated volume (Å³/cell): 265.1
Crystal system: monoclinic
Energy of formation from the pure elements (eV/atom): 0.02
Fermi-level density of states (states/eV per cell): 11.1

Cell lengths 6.2439, 3.6154, 11.9314 Å; angles 90.00, 100.22, 90.00 degrees
Closest atoms and distances in Å follow each position.
Space group P2/m (No. 10)
Asymmetric unit:
1 Tb 0.0000 0.0000 0.0000 (multiplicity 1)  4 Sm 3.61, 6 Pm 3.61-3.62, 2 Tb 3.62
2 Tb 0.0000 0.5000 0.5000 (multiplicity 1)  6 Pm 3.58, 4 Er 3.61, 2 Tb 3.62
3 Pm 0.2501 0.0000 0.7483 (multiplicity 2)  3 Tb 3.58-3.62, 1 Er 3.58, 6 Pm 3.61-3.62, 2 Sm 3.61
4 Pm 0.2497 0.5000 0.2517 (multiplicity 2)  2 Er 3.58, 3 Tb 3.58-3.61, 6 Pm 3.61-3.62, 1 Sm 3.62
5 Sm 0.5000 0.5000 0.0000 (multiplicity 1)  4 Tb 3.61, 6 Pm 3.61-3.62, 2 Sm 3.62
6 Er 0.5000 0.0000 0.5000 (multiplicity 1)  6 Pm 3.58, 4 Tb 3.61, 2 Er 3.62



[7]
Compound: Tb4Pm2SmEr2
Source: Alexandria via LeMat-Bulk
Functional: PBE
Structure: relaxed

Properties
Calculated volume (Å³/cell): 583.7
Crystal system: monoclinic
Energy of formation from the pure elements (eV/atom): 0.01
Fermi-level density of states (states/eV per cell): 23.3

Cell lengths 18.6982, 3.6115, 9.5901 Å; angles 90.00, 115.66, 90.00 degrees
Closest atoms and distances in Å follow each position.
Space group C2/m (No. 12)
Asymmetric unit:
1 Tb 0.0188 0.0000 0.3317 (multiplicity 4)  2 Sm 3.54, 1 Er 3.57, 4 Pm 3.57-3.61, 5 Tb 3.59-3.61
2 Tb 0.1850 0.5000 0.3326 (multiplicity 4)  2 Er 3.54, 1 Sm 3.55, 3 Pm 3.56-3.61, 6 Tb 3.57-3.61
3 Pm 0.1480 0.5000 0.6673 (multiplicity 4)  3 Er 3.54-3.56, 7 Tb 3.56-3.61, 2 Pm 3.61
4 Sm 0.0000 0.5000 0.0000 (multiplicity 2)  6 Tb 3.54-3.55, 4 Er 3.61, 2 Sm 3.61
5 Er 0.1675 0.0000 0.0018 (multiplicity 4)  3 Pm 3.54-3.56, 3 Tb 3.54-3.57, 4 Er 3.59-3.61, 2 Sm 3.61



[8]
Compound: TbPm2Sm2Er
Source: Alexandria via LeMat-Bulk
Functional: PBE
Structure: relaxed

Properties
Calculated volume (Å³/cell): 394.9
Crystal system: orthorhombic
Energy of formation from the pure elements (eV/atom): 0.06
Fermi-level density of states (states/eV per cell): 17.8

Cell lengths 7.0507, 5.6848, 9.8523 Å; angles 90.00, 90.00, 90.00 degrees
Closest atoms and distances in Å follow each position.
Space group Pmma (No. 51)
Asymmetric unit:
1 Tb 0.0000 0.0000 0.0000 (multiplicity 2)  2 Tb 3.53, 2 Sm 3.65, 4 Er 3.70, 6 Pm 3.75-3.78
2 Pm 0.2500 0.0000 0.3393 (multiplicity 2)  7 Sm 3.31-3.70, 2 Er 3.35
3 Pm 0.2500 0.5000 0.8287 (multiplicity 2)  2 Sm 3.22, 3 Er 3.27-3.53
4 Sm 0.0000 0.5000 0.5000 (multiplicity 2)  6 Sm 3.53-3.77, 6 Pm 3.69-3.70, 2 Er 3.78
5 Sm 0.2500 0.0000 0.6756 (multiplicity 2)  5 Pm 3.22-3.53
6 Er 0.2500 0.5000 0.1602 (multiplicity 2)  5 Pm 3.27-3.53



[9]
Compound: Tb2PmSm2Er
Source: Alexandria via LeMat-Bulk
Functional: PBE
Structure: relaxed

Properties
Calculated volume (Å³/cell): 390.3
Crystal system: orthorhombic
Energy of formation from the pure elements (eV/atom): 0.06
Fermi-level density of states (states/eV per cell): 17.8

Cell lengths 6.9886, 5.6753, 9.8401 Å; angles 90.00, 90.00, 90.00 degrees
Closest atoms and distances in Å follow each position.
Space group Pmma (No. 51)
Asymmetric unit:
1 Tb 0.2500 0.0000 0.1638 (multiplicity 2)  3 Sm 3.28-3.49, 2 Er 3.30
2 Tb 0.2500 0.5000 0.6690 (multiplicity 2)  2 Sm 3.25, 3 Er 3.28-3.49
3 Pm 0.0000 0.0000 0.5000 (multiplicity 2)  2 Pm 3.49, 2 Sm 3.69, 4 Er 3.71, 6 Tb 3.72-3.74
4 Sm 0.0000 0.5000 0.0000 (multiplicity 2)  6 Sm 3.49-3.73, 6 Tb 3.70, 2 Er 3.73
5 Sm 0.2500 0.0000 0.8305 (multiplicity 2)  5 Tb 3.25-3.49
6 Er 0.2500 0.5000 0.3354 (multiplicity 2)  5 Tb 3.28-3.49